1.
Compound: Ta2CoSi
Source: Alexandria
Functional: PBE
Structure: optimized geometry

```
4
Lattice="5.108 -1.430 0.000 5.108 1.430 0.000 -1.972 0.000 4.044" Properties=species:S:1:pos:R:3 pbc="T T T"
Ta 0.000 0.000 0.000
Ta 0.819 0.000 2.899
Co 3.795 0.000 1.862
Si 7.295 0.000 1.062
```

Summary:
* DOS(E_F): 3.6 states/eV per cell
* calculated total energy: -9.30 eV per atom
* calculated density: 12.62 g cm⁻³
* space group: Cm (8)
* spin magnetization: 0.132 μB/atom

=====

2.
Compound: TaCo4Si
Source: Alexandria
Functional: PBE
Structure: optimized geometry

```
12
Lattice="4.748 0.000 0.000 -2.374 4.112 0.000 0.000 0.000 7.412" Properties=species:S:1:pos:R:3 pbc="T T T"
Ta 0.000 2.741 3.046
Ta 2.374 1.371 4.366
Co 0.000 0.000 0.000
Co 0.000 0.000 3.706
Co 0.000 1.400 5.597
Co -1.162 3.412 5.597
Co 1.212 0.700 1.815
Co 1.162 3.412 5.597
Co 3.535 0.700 1.815
Co 2.374 2.712 1.815
Si 0.000 2.741 0.356
Si 2.374 1.371 7.057
```

Summary:
* DOS(E_F): 14.2 states/eV per cell
* calculated total energy: -7.74 eV per atom
* calculated density: 10.21 g cm⁻³
* space group: P-3m1 (164)
* spin magnetization: 0.258 μB/atom

=====

3.
Compound: TaCo2Si
Source: Alexandria
Functional: PBE
Structure: optimized geometry

```
4
Lattice="2.733 0.000 0.000 0.000 2.733 0.000 0.000 0.000 6.591" Properties=species:S:1:pos:R:3 pbc="T T T"
Ta 0.000 0.000 0.000
Co 1.366 1.366 1.946
Co 1.366 1.366 4.644
Si 0.000 0.000 3.295
```

Summary:
* DOS(E_F): 3.3 states/eV per cell
* calculated total energy: -8.30 eV per atom
* calculated density: 11.03 g cm⁻³
* space group: P4/mmm (123)
* spin magnetization: 0.000 μB/atom